Entry 1:
Computed, not measured: a relaxed BeAl4Cu15 crystal at the PBE level of DFT.

## Properties
**Calculated total energy**: -4.16 eV per atom
**SG**: P4/mmm, No. 123
**Mass density**: 7.3 Mg/m³
**Calculated volume**: 244.2 Å³/cell

Unit cell a=3.735 b=3.735 c=17.509 alpha=90.00 beta=90.00 gamma=90.00
Element x y z (fractional)
Be (0.000, 0.000, 0.000)
Al (0.000, 0.000, 0.192)
Al (0.000, 0.000, 0.398)
Al (0.000, 0.000, 0.602)
Al (0.000, 0.000, 0.808)
Cu (0.500, 0.500, 0.000)
Cu (0.500, 0.500, 0.193)
Cu (0.500, 0.500, 0.397)
Cu (0.500, 0.500, 0.603)
Cu (0.500, 0.500, 0.807)
Cu (0.500, 0.000, 0.091)
Cu (0.500, 0.000, 0.295)
Cu (0.500, 0.000, 0.500)
Cu (0.500, 0.000, 0.705)
Cu (0.500, 0.000, 0.909)
Cu (0.000, 0.500, 0.091)
Cu (0.000, 0.500, 0.295)
Cu (0.000, 0.500, 0.500)
Cu (0.000, 0.500, 0.705)
Cu (0.000, 0.500, 0.909)

***

Entry 2:
Computed, not measured: a relaxed BeAlCu2 crystal at the PBE level of DFT.

## Properties
**Calculated total energy**: -4.02 eV per atom
**SG**: C2/m, No. 12
**Mass density**: 5.8 Mg/m³
**Calculated volume**: 46.5 Å³/cell

Unit cell a=4.595 b=4.595 c=3.998 alpha=63.67 beta=63.67 gamma=38.67
Element x y z (fractional)
Be (0.250, 0.250, 0.250)
Al (0.750, 0.750, 0.750)
Cu (0.981, 0.981, 0.019)
Cu (0.519, 0.519, 0.481)

***

Entry 3:
Computed, not measured: a relaxed BeAlCu2 crystal at the PBE level of DFT.

## Properties
**Calculated total energy**: -3.97 eV per atom
**SG**: F-43m, No. 216
**Mass density**: 5.8 Mg/m³
**Calculated volume**: 46.9 Å³/cell

Unit cell a=4.047 b=4.047 c=4.047 alpha=60.00 beta=60.00 gamma=60.00
Element x y z (fractional)
Be (0.750, 0.750, 0.750)
Al (0.500, 0.500, 0.500)
Cu (0.000, 0.000, 0.000)
Cu (0.250, 0.250, 0.250)

***

Entry 4:
Computed, not measured: a relaxed BeAlCu crystal at the PBE level of DFT.

## Properties
**Calculated total energy**: -3.72 eV per atom
**ΔE to the lowest computed polymorph**: 0.260 eV per atom
**SG**: Fmm2, No. 42
**Mass density**: 4.5 Mg/m³
**Calculated volume**: 36.4 Å³/cell

Unit cell a=6.297 b=6.081 c=2.591 alpha=82.62 beta=73.29 gamma=24.08
Element x y z (fractional)
Be (0.327, 0.327, 0.673)
Al (0.996, 0.996, 0.004)
Cu (0.676, 0.676, 0.324)

***

Entry 5:
Computed, not measured: a relaxed Be2AlCu6 crystal at the PBE level of DFT.

## Properties
**Calculated total energy**: -4.06 eV per atom
**SG**: Fmmm, No. 69
**Mass density**: 6.9 Mg/m³
**Calculated volume**: 101.9 Å³/cell

Unit cell a=3.967 b=4.770 c=6.243 alpha=82.39 beta=71.48 gamma=65.43
Element x y z (fractional)
Be (0.337, 0.500, 0.826)
Be (0.663, 0.500, 0.174)
Al (0.000, 0.500, 0.500)
Cu (0.673, 0.806, 0.848)
Cu (0.327, 0.194, 0.152)
Cu (0.021, 0.806, 0.152)
Cu (0.335, 0.830, 0.500)
Cu (0.979, 0.194, 0.848)
Cu (0.665, 0.170, 0.500)

***

Entry 6:
Computed, not measured: a relaxed Be8AlCu3 crystal at the PBE level of DFT.

## Properties
**Calculated total energy**: -3.92 eV per atom
**SG**: P3m1, No. 156
**Mass density**: 4.3 Mg/m³
**Calculated volume**: 111.7 Å³/cell

Unit cell a=4.270 b=4.270 c=7.076 alpha=90.00 beta=90.00 gamma=120.00
Element x y z (fractional)
Be (0.333, 0.667, 0.499)
Be (0.333, 0.667, 0.000)
Be (0.499, 0.997, 0.755)
Be (0.499, 0.501, 0.755)
Be (0.003, 0.501, 0.755)
Be (0.168, 0.335, 0.246)
Be (0.168, 0.832, 0.246)
Be (0.665, 0.832, 0.246)
Al (0.000, 0.000, 0.556)
Cu (0.667, 0.333, 0.445)
Cu (0.667, 0.333, 0.057)
Cu (0.000, 0.000, 0.938)

***

no.,ΔE_f (meV/atom)
1,-158
2,-102
3,-51
4,139
5,-88
6,-98